(1)
# Co6PbS8

An optimized crystal structure of Co6PbS8 (PBE-GGA, the Alexandria database).

Fermi-level density of states	0.624	states/eV per atom
formation energy from raw total energies	-0.367	eV/atom
SG	R-3, No. 148

Cell: 6.193 6.193 6.193 Å, 90.30 90.30 90.30°
Element x y z (fractional)
Co  0.593  0.430  0.813
Co  0.430  0.813  0.593
Co  0.813  0.593  0.430
Co  0.407  0.570  0.187
Co  0.570  0.187  0.407
Co  0.187  0.407  0.570
Pb  0.000  0.000  0.000
S  0.739  0.739  0.739
S  0.261  0.261  0.261
S  0.618  0.856  0.274
S  0.856  0.274  0.618
S  0.274  0.618  0.856
S  0.382  0.144  0.726
S  0.144  0.726  0.382
S  0.726  0.382  0.144

(2)
# LiBiCl

An optimized crystal structure of LiBiCl (PBE-GGA, the Alexandria database).

Fermi-level density of states	0.098	states/eV per atom
formation energy from raw total energies	-0.843	eV/atom
SG	Immm, No. 71

Cell: 3.490 6.317 8.073 Å, 113.03 102.48 90.00°
Element x y z (fractional)
Li  0.799  0.299  0.597
Li  0.201  0.701  0.403
Bi  0.500  0.726  0.000
Bi  0.500  0.274  0.000
Cl  0.196  0.196  0.393
Cl  0.804  0.804  0.607

(3)
# TlWBr5

An optimized crystal structure of TlWBr5 (PBE-GGA, the Alexandria database).

Fermi-level density of states	0.596	states/eV per atom
formation energy from raw total energies	-0.488	eV/atom
SG	C2/c, No. 15

Cell: 8.494 8.494 10.823 Å, 80.59 119.98 124.87°
Element x y z (fractional)
Tl  0.802  0.552  0.250
Tl  0.198  0.448  0.750
W  0.000  0.000  0.000
W  0.500  0.000  0.500
Br  0.769  0.909  0.115
Br  0.174  0.905  0.522
Br  0.706  0.346  0.615
Br  0.359  0.109  0.250
Br  0.883  0.653  0.978
Br  0.117  0.347  0.022
Br  0.641  0.891  0.750
Br  0.294  0.654  0.385
Br  0.826  0.095  0.478
Br  0.231  0.091  0.885